[1]
{"formula": "K2ScBeCr", "functional": "PBE", "state": "optimized geometry", "dft_energy_ev_per_cell": -13.8, "formation_energy_kj_per_mol_atoms": 156.4, "magmom_total_mub_per_fu": 3.35, "lattice_angstrom": [[6.719, 0.000, 0.000], [0.000, 4.695, 0.000], [0.000, 0.000, 6.719]], "species": ["Cr", "Be", "K", "Sc", "K"], "fractional_positions": [[0.000, 0.500, 0.000], [0.500, 0.500, 0.500], [0.500, 0.000, 0.000], [0.000, 0.000, 0.000], [0.000, 0.000, 0.500]]}

***

[2]
{"formula": "EuTcN", "functional": "PBE", "state": "optimized geometry", "dft_energy_ev_per_cell": -28.5, "magmom_total_mub_per_fu": 6.85, "formation_energy_uncorrected_ev_per_atom": 0.17, "lattice_angstrom": [[-1.347, -0.188, -2.550], [2.319, -1.305, -1.129], [-2.474, -3.997, 3.240]], "species": ["Tc", "Eu", "N"], "fractional_positions": [[0.282, 0.282, 0.563], [0.009, 0.009, 0.017], [0.710, 0.710, 0.419]]}

***

[3]
{"formula": "BaSrGaHg", "functional": "PBE", "state": "optimized geometry", "dft_energy_ev_per_cell": -8.6, "formation_energy_kj_per_mol_atoms": -40.9, "magmom_total_mub_per_fu": 0.00, "lattice_angstrom": [[5.748, 0.000, 0.000], [2.874, 4.978, 0.000], [2.874, 1.659, 4.693]], "species": ["Ga", "Ba", "Sr", "Hg"], "fractional_positions": [[0.250, 0.250, 0.250], [0.500, 0.500, 0.500], [0.000, 0.000, 0.000], [0.750, 0.750, 0.750]]}

***

[4]
{"formula": "Tb2Er3Hg3", "functional": "PBE", "state": "optimized geometry", "dft_energy_ev_per_cell": -26.7, "formation_energy_kj_per_mol_atoms": -34.2, "magmom_total_mub_per_fu": 0.00, "lattice_angstrom": [[-1.399, 3.251, -1.155], [-4.303, -0.821, 2.902], [7.619, 3.858, 7.630]], "species": ["Hg", "Hg", "Hg", "Er", "Tb", "Er", "Tb", "Er"], "fractional_positions": [[0.000, 0.500, 0.000], [0.883, 0.883, 0.766], [0.117, 0.117, 0.234], [0.500, 0.000, 0.000], [0.268, 0.768, 0.536], [0.379, 0.379, 0.759], [0.732, 0.232, 0.464], [0.621, 0.621, 0.241]]}